Entry 1:
Na2O9: optimized geometry, GGA-PBE.

Cell: 10.8651 4.9004 14.9533 Å, 68.60 90.00 90.00°
Closest atoms and distances in Å follow each position.
Sites, in units of the cell vectors:
Na: 0.0589 0.6552 0.5866  7 O 2.37-2.65
Na: 0.5589 0.3448 0.9134  7 O 2.37-2.65
Na: 0.9411 0.3448 0.4134  7 O 2.37-2.65
Na: 0.4411 0.6552 0.0866  7 O 2.37-2.65
Na: 0.5590 0.0802 0.6806  7 O 2.39-2.60
Na: 0.0590 0.9198 0.8194  7 O 2.39-2.60
Na: 0.4410 0.9198 0.3194  7 O 2.39-2.60
Na: 0.9410 0.0802 0.1806  7 O 2.39-2.60
O: 0.8134 0.0603 0.5527  1 O 1.26
O: 0.3134 0.9397 0.9473  1 O 1.26
O: 0.1866 0.9397 0.4473  1 O 1.26
O: 0.6866 0.0603 0.0527  1 O 1.26
O: 0.2872 0.8769 0.8750  1 O 1.26
O: 0.7872 0.1231 0.6250  1 O 1.26
O: 0.7128 0.1231 0.1250  1 O 1.26
O: 0.2128 0.8769 0.3750  1 O 1.26
O: 0.7487 0.6977 0.8625  1 O 1.26
O: 0.2487 0.3023 0.6375  1 O 1.26
O: 0.2513 0.3023 0.1375  1 O 1.26
O: 0.7513 0.6977 0.3625  1 O 1.26
O: 0.0052 0.1346 0.5806  1 O 1.31
O: 0.5052 0.8654 0.9194  1 O 1.31
O: 0.9948 0.8654 0.4194  1 O 1.31
O: 0.4948 0.1346 0.0806  1 O 1.31
O: 0.5054 0.8972 0.4845  1 O 1.26
O: 0.0054 0.1028 0.0155  1 O 1.26
O: 0.4946 0.1028 0.5155  1 O 1.26
O: 0.9946 0.8972 0.9845  1 O 1.26
O: 0.1289 0.5974 0.7428  1 O 1.30
O: 0.6289 0.4026 0.7572  1 O 1.30
O: 0.8711 0.4026 0.2572  1 O 1.30
O: 0.3711 0.5974 0.2428  1 O 1.30
O: 0.5974 0.6033 0.6754  1 O 1.30
O: 0.0974 0.3967 0.8246  1 O 1.30
O: 0.4026 0.3967 0.3246  1 O 1.30
O: 0.9026 0.6033 0.1754  1 O 1.30
O: 0.8575 0.6433 0.8462  1 O 1.26
O: 0.3575 0.3567 0.6538  1 O 1.26
O: 0.1425 0.3567 0.1538  1 O 1.26
O: 0.6425 0.6433 0.3462  1 O 1.26
O: 0.4625 0.8129 0.8450  1 O 1.31
O: 0.9625 0.1871 0.6550  1 O 1.31
O: 0.5375 0.1871 0.1550  1 O 1.31
O: 0.0375 0.8129 0.3450  1 O 1.31

Summary:
E in eV/atom: -4.708
M_tot in μB per cell: 20.0
Symmetry: No. 14

***

Entry 2:
CsLiEr2F8: optimized geometry, GGA-PBE.

Cell: 4.2855 6.7026 7.1923 Å, 96.54 84.99 90.70°
Closest atoms and distances in Å follow each position.
Sites, in units of the cell vectors:
Cs: 0.0000 0.0000 0.5000  6 F 2.89-3.08
Li: 0.0000 0.0000 0.0000  2 F 1.78
Er: 0.4379 0.5518 0.7611  7 F 2.17-2.30
Er: 0.5621 0.4482 0.2389  7 F 2.17-2.30
F: 0.0572 0.5166 0.2730  2 Er 2.19-2.20
F: 0.6227 0.6787 0.0421  2 Er 2.21-2.30
F: 0.7544 0.1472 0.1744  1 Li 1.78
F: 0.9428 0.4834 0.7270  2 Er 2.19-2.20
F: 0.3773 0.3213 0.9579  2 Er 2.21-2.30
F: 0.2456 0.8528 0.8256  1 Li 1.78
F: 0.5262 0.6885 0.4871  2 Er 2.26-2.27
F: 0.4738 0.3115 0.5129  2 Er 2.26-2.27

Summary:
E in eV/atom: -5.926
M_tot in μB per cell: 0.0
Symmetry: No. 2

***

Entry 3:
GaMo2C: optimized geometry, GGA-PBE.

Cell: 5.0380 5.0380 6.5510 Å, 67.39 67.39 90.00°
Closest atoms and distances in Å follow each position.
Sites, in units of the cell vectors:
Mo: 0.5139 0.1250 0.2500  2 C 1.99
Mo: 0.2361 0.6250 0.2500  2 C 1.99
Mo: 0.3750 0.4861 0.7500  2 C 1.99
Mo: 0.8750 0.7639 0.7500  2 C 1.99
C: 0.5000 0.5000 0.0000  4 Mo 1.99
C: 0.2500 0.7500 0.5000  4 Mo 1.99
Ga: 0.0000 0.0000 0.0000  4 Mo 2.60
Ga: 0.7500 0.2500 0.5000  4 Mo 2.60

Summary:
E in eV/atom: -7.605
M_tot in μB per cell: 0.0
ΔE_f in eV/atom: 0.87
Relative energy among the computed polymorphs in eV per atom: 0.997
Symmetry: No. 122

***

Entry 4:
In2SbP: optimized geometry, GGA-PBE.

Cell: 3.6363 3.6991 7.8810 Å, 76.45 90.00 90.00°
Closest atoms and distances in Å follow each position.
Sites, in units of the cell vectors:
In: 0.0000 0.9352 0.0106  8 In 3.38-3.70, 4 Sb 3.41-3.43, 1 P 3.55
In: 0.5000 0.2886 0.2959  4 P 2.93
P: 0.0000 0.6992 0.4741  2 Sb 2.61
Sb: 0.5000 0.5770 0.7194  2 P 2.61

Summary:
E in eV/atom: -3.623
M_tot in μB per cell: 0.0
Relative energy among the computed polymorphs in eV per atom: 0.273
Symmetry: No. 6

***

Entry 5:
Cs2BeAgI6: optimized geometry, GGA-PBE.

Cell: 8.7501 8.7501 8.4508 Å, 58.82 58.82 90.00°
Closest atoms and distances in Å follow each position.
Sites, in units of the cell vectors:
Cs: 0.7500 0.2500 0.5000  12 I 4.23-4.42
Cs: 0.2500 0.7500 0.5000  12 I 4.23-4.42
I: 0.3054 0.3054 0.3893  1 Be 2.24
I: 0.6946 0.6946 0.6107  1 Be 2.24
I: 0.2277 0.2277 0.0000  1 Ag 2.82
I: 0.7723 0.7723 0.0000  1 Ag 2.82
I: 0.7723 0.2277 0.0000  1 Ag 2.82
I: 0.2277 0.7723 0.0000  1 Ag 2.82
Ag: 0.0000 0.0000 0.0000  4 I 2.82
Be: 0.5000 0.5000 0.0000  2 I 2.24

Summary:
E in eV/atom: -2.481
M_tot in μB per cell: 0.0
Symmetry: No. 139

***

Entry 6:
Ta2CdSn2: optimized geometry, GGA-PBE.

Cell: 7.6944 7.6944 3.6690 Å, 90.00 90.00 90.00°
Closest atoms and distances in Å follow each position.
Sites, in units of the cell vectors:
Cd: 0.0000 0.0000 0.0000  4 Ta 3.05, 8 Sn 3.40
Cd: 0.5000 0.5000 0.0000  4 Ta 3.05, 8 Sn 3.40
Sn: 0.1694 0.6694 0.5000  6 Ta 2.90-2.93
Sn: 0.6694 0.8306 0.5000  6 Ta 2.90-2.93
Sn: 0.8306 0.3306 0.5000  6 Ta 2.90-2.93
Sn: 0.3306 0.1694 0.5000  6 Ta 2.90-2.93
Ta: 0.3760 0.8760 0.0000  1 Ta 2.70, 6 Sn 2.90-2.93
Ta: 0.8760 0.6240 0.0000  1 Ta 2.70, 6 Sn 2.90-2.93
Ta: 0.6240 0.1240 0.0000  1 Ta 2.70, 6 Sn 2.90-2.93
Ta: 0.1240 0.3760 0.0000  1 Ta 2.70, 6 Sn 2.90-2.93

Summary:
E in eV/atom: -6.280
M_tot in μB per cell: 0.0
ΔE_f in eV/atom: 0.25
Symmetry: No. 127

***

Entry 7:
Ac6Rh2I3Cl: optimized geometry, GGA-PBE.

Cell: 7.7496 7.7496 8.9506 Å, 98.28 98.28 119.89°
Closest atoms and distances in Å follow each position.
Sites, in units of the cell vectors:
Ac: 0.9354 0.5731 0.8092  2 Rh 2.96-2.97, 1 Cl 3.25
Ac: 0.7008 0.7008 0.1888  2 Rh 2.97, 1 Cl 3.24
Ac: 0.0646 0.4269 0.1908  2 Rh 2.96-2.97, 1 Cl 3.25
Ac: 0.5731 0.9354 0.8092  2 Rh 2.96-2.97, 1 Cl 3.25
Ac: 0.2992 0.2992 0.8112  2 Rh 2.97, 1 Cl 3.24
Ac: 0.4269 0.0646 0.1908  2 Rh 2.96-2.97, 1 Cl 3.25
Rh: 0.3329 0.6671 0.0000  6 Ac 2.96-2.97
Rh: 0.6671 0.3329 0.0000  6 Ac 2.96-2.97
I: 0.1618 0.8382 0.5000  6 Ac 3.58-3.80
I: 0.8382 0.1618 0.5000  6 Ac 3.58-3.80
I: 0.5000 0.5000 0.5000  6 Ac 3.56-3.78
Cl: 0.0000 0.0000 0.0000  6 Ac 3.24-3.25

Summary:
E in eV/atom: -4.892
M_tot in μB per cell: 0.0
Symmetry: No. 12

***

Entry 8:
ErMgSnBi: optimized geometry, GGA-PBE.

Cell: 5.3387 5.3387 5.3387 Å, 60.00 60.00 60.00°
Closest atoms and distances in Å follow each position.
Sites, in units of the cell vectors:
Mg: 0.2500 0.2500 0.2500  4 Bi 3.27, 4 Sn 3.27
Bi: 0.0000 0.0000 0.0000  4 Mg 3.27, 4 Er 3.27
Sn: 0.5000 0.5000 0.5000  4 Er 3.27, 4 Mg 3.27
Er: 0.7500 0.7500 0.7500  4 Sn 3.27, 4 Bi 3.27

Summary:
E in eV/atom: -3.773
M_tot in μB per cell: 0.0
ΔE_f in eV/atom: -0.26
Symmetry: No. 216

***

Entry 9:
CoRuPb2: optimized geometry, GGA-PBE.

Cell: 4.4872 4.4872 5.6726 Å, 77.73 77.73 43.52°
Closest atoms and distances in Å follow each position.
Sites, in units of the cell vectors:
Co: 0.2500 0.2500 0.2500  6 Pb 2.76-2.77
Pb: 0.9971 0.9971 0.0060  3 Co 2.76-2.77, 3 Ru 2.78-2.81
Pb: 0.5029 0.5029 0.4940  3 Co 2.76-2.77, 3 Ru 2.78-2.81
Ru: 0.7500 0.7500 0.7500  6 Pb 2.78-2.81

Summary:
E in eV/atom: -5.316
M_tot in μB per cell: 1.0
ΔE_f in eV/atom: 0.63
Relative energy among the computed polymorphs in eV per atom: 0.274
Symmetry: No. 12

***

Entry 10:
Ba2ZrPdI: optimized geometry, GGA-PBE.

Cell: 6.5296 4.8809 6.5296 Å, 90.00 90.00 90.00°
Closest atoms and distances in Å follow each position.
Sites, in units of the cell vectors:
I: 0.5000 0.5000 0.5000  8 Ba 4.08
Zr: 0.0000 0.0000 0.0000  2 Pd 2.44
Ba: 0.0000 0.0000 0.5000  2 Zr 3.26
Ba: 0.5000 0.0000 0.0000  2 Zr 3.26
Pd: 0.0000 0.5000 0.0000  2 Zr 2.44

Summary:
E in eV/atom: -3.833
M_tot in μB per cell: 1.9
Symmetry: No. 123

***

Entry 11:
K3PrSe4O12: optimized geometry, GGA-PBE.

Cell: 7.7582 7.7582 7.7582 Å, 106.37 106.37 106.37°
Closest atoms and distances in Å follow each position.
Sites, in units of the cell vectors:
K: 0.5309 0.4691 0.0000  6 O 2.65-2.91
K: 0.4691 0.0000 0.5309  6 O 2.65-2.91
K: 0.0000 0.5309 0.4691  6 O 2.65-2.91
Pr: 0.0000 0.0000 0.0000  6 O 2.44
Se: 0.9577 0.0423 0.5000  3 O 1.67-1.85
Se: 0.0423 0.5000 0.9577  3 O 1.67-1.85
Se: 0.5000 0.9577 0.0423  3 O 1.67-1.85
Se: 0.5000 0.5000 0.5000  3 O 1.65
O: 0.5000 0.3668 0.6332  1 Se 1.65
O: 0.9075 0.5000 0.0925  1 Se 1.67
O: 0.0925 0.9075 0.5000  1 Se 1.67
O: 0.5000 0.0925 0.9075  1 Se 1.67
O: 0.3329 0.0245 0.1516  1 Se 1.85
O: 0.1516 0.3329 0.0245  1 Se 1.85
O: 0.0245 0.1516 0.3329  1 Se 1.85
O: 0.6671 0.8484 0.9755  1 Se 1.85
O: 0.9755 0.6671 0.8484  1 Se 1.85
O: 0.8484 0.9755 0.6671  1 Se 1.85
O: 0.6332 0.5000 0.3668  1 Se 1.65
O: 0.3668 0.6332 0.5000  1 Se 1.65

Summary:
E in eV/atom: -5.126
M_tot in μB per cell: 0.0
Symmetry: No. 155

***

Entry 12:
Ba3GaN3: optimized geometry, GGA-PBE.

Cell: 8.1513 8.1513 5.7883 Å, 90.00 90.00 120.00°
Closest atoms and distances in Å follow each position.
Sites, in units of the cell vectors:
Ba: 0.9340 0.6382 0.2500  4 N 2.70-2.92
Ba: 0.7042 0.0660 0.2500  4 N 2.70-2.92
Ba: 0.3618 0.2958 0.2500  4 N 2.70-2.92
Ba: 0.0660 0.3618 0.7500  4 N 2.70-2.92
Ba: 0.2958 0.9340 0.7500  4 N 2.70-2.92
Ba: 0.6382 0.7042 0.7500  4 N 2.70-2.92
Ga: 0.6667 0.3333 0.7500  3 N 1.93
Ga: 0.3333 0.6667 0.2500  3 N 1.93
N: 0.8904 0.5816 0.7500  1 Ga 1.93
N: 0.6911 0.1096 0.7500  1 Ga 1.93
N: 0.4184 0.3089 0.7500  1 Ga 1.93
N: 0.1096 0.4184 0.2500  1 Ga 1.93
N: 0.3089 0.8904 0.2500  1 Ga 1.93
N: 0.5816 0.6911 0.2500  1 Ga 1.93

Summary:
E in eV/atom: -5.318
M_tot in μB per cell: 0.0
Relative energy among the computed polymorphs in eV per atom: 0.000
Symmetry: No. 176